Record 1
Below is a geometry-optimized Tb5PmPr6 structure, with properties calculated at the GGA-PBE level.

Energy of formation ... 15 meV per atom
Size of the total moment ... 0.00 Bohr magnetons per cell
Crystal system ... monoclinic

Geometry as POSCAR:
```
Tb5PmPr6
1.0
11.421 -0.766 0.000
2.645 4.445 0.000
1.322 2.223 7.782
Pr Tb Pm
6 5 1
Direct
0.749 0.418 0.666
0.251 0.916 0.666
0.749 0.084 0.334
0.251 0.249 0.000
0.749 0.751 0.000
0.251 0.582 0.334
0.000 0.333 0.335
0.500 0.167 0.667
0.500 0.500 0.000
0.000 0.667 0.665
0.500 0.833 0.333
0.000 0.000 0.000
```

Record 2
Below is a geometry-optimized TiTl2GaFe structure, with properties calculated at the GGA-PBE level.

Energy of formation ... 717 meV per atom
Size of the total moment ... 0.29 Bohr magnetons per cell
Crystal system ... tetragonal

Geometry as POSCAR:
```
TiTl2GaFe
1.0
4.992 0.000 0.000
0.000 4.516 0.000
0.000 0.000 4.992
Ga Tl Ti Fe
1 2 1 1
Direct
0.000 0.500 0.000
0.000 0.000 0.500
0.500 0.000 0.000
0.500 0.500 0.500
0.000 0.000 0.000
```

Record 3
Below is a geometry-optimized CrCo3 structure, with properties calculated at the GGA-PBE level.

Energy of formation ... 4 meV per atom
Size of the total moment ... 2.59 Bohr magnetons per cell
Crystal system ... orthorhombic
Energy above the lowest structure with this stoichiometry ... 9 meV/atom

Geometry as POSCAR:
```
CrCo3
1.0
4.982 0.000 0.000
0.000 3.969 0.000
0.000 0.000 4.330
Cr Co
2 6
Direct
0.500 0.500 0.336
0.000 0.000 0.664
0.000 0.500 0.331
0.749 0.500 0.832
0.500 0.000 0.669
0.751 0.000 0.168
0.251 0.500 0.832
0.249 0.000 0.168
```